{
  "formula": "ZrCd2Re",
  "functional": "PBE-GGA",
  "state": "optimized geometry",
  "lattice": [[2.949, -0.006, 0.000], [-0.931, 2.798, 0.000], [0.000, 0.000, 9.577]],
  "species": ["Cd", "Cd", "Re", "Zr"],
  "fractional_positions": [[0.500, 0.500, 0.266], [0.000, 0.000, 0.998], [0.000, 0.000, 0.509], [0.500, 0.500, 0.727]],
  "e_above_lowest_polymorph_ev_per_atom": 0.018,
  "delta_e_f_ev_per_atom": 0.1772
}

***

{
  "formula": "LiTmNiSb",
  "functional": "PBE-GGA",
  "state": "optimized geometry",
  "lattice": [[4.607, 0.000, 0.000], [2.303, 3.990, 0.000], [2.303, 1.330, 3.762]],
  "species": ["Sb", "Li", "Tm", "Ni"],
  "fractional_positions": [[0.250, 0.250, 0.250], [0.000, 0.000, 0.000], [0.750, 0.750, 0.750], [0.500, 0.500, 0.500]],
  "e_form_raw_ev_per_atom": -0.49
}

***

{
  "formula": "Rb2SiBr6O",
  "functional": "PBE-GGA",
  "state": "optimized geometry",
  "lattice": [[7.426, 0.000, 0.000], [0.000, 7.426, 0.000], [3.713, 3.713, 5.453]],
  "species": ["Si", "Br", "Br", "Br", "Br", "Br", "Br", "Rb", "Rb", "O"],
  "fractional_positions": [[0.000, 0.000, 0.000], [0.235, 0.765, 0.000], [0.765, 0.235, 0.000], [0.235, 0.235, 0.000], [0.765, 0.765, 0.000], [0.779, 0.779, 0.443], [0.221, 0.221, 0.557], [0.750, 0.250, 0.500], [0.250, 0.750, 0.500], [0.500, 0.500, 0.000]],
  "e_form_raw_ev_per_atom": -0.77
}

***

{
  "formula": "CsOsSeBr2",
  "functional": "PBE-GGA",
  "state": "optimized geometry",
  "lattice": [[5.566, 0.000, 0.000], [0.000, 5.566, 0.000], [0.000, 0.000, 4.679]],
  "species": ["Cs", "Se", "Br", "Br", "Os"],
  "fractional_positions": [[0.500, 0.500, 0.500], [0.000, 0.000, 0.500], [0.500, 0.000, 0.000], [0.000, 0.500, 0.000], [0.000, 0.000, 0.000]],
  "e_form_raw_ev_per_atom": -0.30
}

***

{
  "formula": "TaH2Rh4",
  "functional": "PBE-GGA",
  "state": "optimized geometry",
  "lattice": [[0.249, -5.574, 0.095], [3.954, 0.159, -1.238], [-0.030, 2.922, 7.198]],
  "species": ["Ta", "Ta", "H", "H", "H", "H", "Rh", "Rh", "Rh", "Rh", "Rh", "Rh", "Rh", "Rh"],
  "fractional_positions": [[0.920, 0.087, 0.982], [0.187, 0.855, 0.518], [0.528, 0.361, 0.200], [0.578, 0.910, 0.299], [0.792, 0.257, 0.728], [0.314, 0.278, 0.771], [0.054, 0.536, 0.750], [0.701, 0.881, 0.544], [0.553, 0.536, 0.750], [0.407, 0.086, 0.956], [0.864, 0.299, 0.367], [0.243, 0.683, 0.133], [0.748, 0.683, 0.133], [0.360, 0.300, 0.367]],
  "e_tot_ev_per_atom": -7.09
}

***

{
  "formula": "La2Pm3PrAs6",
  "functional": "PBE-GGA",
  "state": "optimized geometry",
  "lattice": [[4.298, 0.000, 0.000], [0.000, 8.586, 0.307], [-2.149, -2.473, 9.029]],
  "species": ["As", "As", "As", "As", "As", "As", "Pm", "Pm", "Pm", "Pr", "La", "La"],
  "fractional_positions": [[0.001, 0.748, 0.003], [0.667, 0.080, 0.335], [0.333, 0.920, 0.665], [0.999, 0.252, 0.997], [0.335, 0.413, 0.669], [0.665, 0.587, 0.331], [0.167, 0.834, 0.333], [0.500, 0.500, 0.000], [0.833, 0.166, 0.667], [0.500, 0.000, 0.000], [0.166, 0.333, 0.333], [0.834, 0.667, 0.667]],
  "delta_e_f_ev_per_atom": -1.5362
}

***

{
  "formula": "Be2Co2Ir",
  "functional": "PBE-GGA",
  "state": "optimized geometry",
  "lattice": [[6.376, 0.000, 0.000], [0.000, 6.376, 0.000], [0.000, 0.000, 2.580]],
  "species": ["Co", "Co", "Co", "Co", "Be", "Be", "Be", "Be", "Ir", "Ir"],
  "fractional_positions": [[0.623, 0.123, 0.000], [0.377, 0.877, 0.000], [0.123, 0.377, 0.000], [0.877, 0.623, 0.000], [0.326, 0.174, 0.500], [0.674, 0.826, 0.500], [0.174, 0.674, 0.500], [0.826, 0.326, 0.500], [0.000, 0.000, 0.000], [0.500, 0.500, 0.000]],
  "e_above_lowest_polymorph_ev_per_atom": 0.250,
  "delta_e_f_ev_per_atom": 0.0103
}

***

{
  "formula": "Al2AgN2",
  "functional": "PBE-GGA",
  "state": "optimized geometry",
  "lattice": [[-1.252, -2.092, -2.820], [-2.589, -1.473, 2.242], [-5.301, 2.081, -1.654]],
  "species": ["N", "N", "Al", "Al", "Ag"],
  "fractional_positions": [[0.288, 0.288, 0.425], [0.712, 0.712, 0.575], [0.250, 0.750, 0.500], [0.750, 0.250, 0.500], [0.000, 0.000, 0.000]],
  "e_above_lowest_polymorph_ev_per_atom": 0.000,
  "e_form_raw_ev_per_atom": -0.35
}

***

{
  "formula": "Mg4Ga5Pd3",
  "functional": "PBE-GGA",
  "state": "optimized geometry",
  "lattice": [[5.013, -0.620, -0.138], [1.862, 4.532, 0.092], [-2.279, 0.152, 9.615]],
  "species": ["Ga", "Ga", "Ga", "Ga", "Ga", "Mg", "Mg", "Mg", "Mg", "Pd", "Pd", "Pd"],
  "fractional_positions": [[0.353, 0.084, 0.874], [0.647, 0.916, 0.126], [0.388, 0.598, 0.742], [0.000, 0.500, 0.500], [0.612, 0.402, 0.258], [0.828, 0.312, 0.999], [0.706, 0.004, 0.658], [0.172, 0.688, 0.001], [0.294, 0.996, 0.342], [0.076, 0.539, 0.247], [0.924, 0.461, 0.753], [0.500, 0.500, 0.500]],
  "delta_e_f_ev_per_atom": -0.3958
}

***

{
  "formula": "Cs2KRbNa2",
  "functional": "PBE-GGA",
  "state": "optimized geometry",
  "lattice": [[8.847, 0.000, 0.000], [0.000, 8.871, 0.000], [-4.423, -4.435, 11.704]],
  "species": ["Cs", "Cs", "Cs", "Cs", "K", "K", "Na", "Na", "Na", "Na", "Rb", "Rb"],
  "fractional_positions": [[0.820, 0.580, 0.640], [0.680, 0.941, 0.360], [0.180, 0.420, 0.360], [0.320, 0.059, 0.640], [0.750, 0.500, 0.000], [0.250, 0.500, 0.000], [0.375, 0.606, 0.749], [0.625, 0.394, 0.251], [0.875, 0.143, 0.749], [0.125, 0.857, 0.251], [0.250, 0.000, 0.000], [0.750, 0.000, 0.000]],
  "delta_e_f_ev_per_atom": 0.0274
}

***

{
  "formula": "Tb3UCo3",
  "functional": "PBE-GGA",
  "state": "optimized geometry",
  "lattice": [[3.580, 0.000, 0.539], [1.795, 6.322, 0.237], [-0.126, -0.352, 12.994]],
  "species": ["Tb", "Tb", "Tb", "Tb", "Tb", "Tb", "Co", "Co", "Co", "Co", "Co", "Co", "U", "U"],
  "fractional_positions": [[0.740, 0.721, 0.798], [0.583, 0.752, 0.081], [0.260, 0.279, 0.202], [0.497, 0.641, 0.365], [0.503, 0.359, 0.635], [0.417, 0.248, 0.919], [0.112, 0.325, 0.451], [0.888, 0.675, 0.549], [0.912, 0.104, 0.073], [0.089, 0.072, 0.750], [0.911, 0.928, 0.250], [0.088, 0.896, 0.927], [0.243, 0.921, 0.593], [0.757, 0.079, 0.407]],
  "delta_e_f_ev_per_atom": -0.1767
}

***

{
  "formula": "SrLi2Tl2",
  "functional": "PBE-GGA",
  "state": "optimized geometry",
  "lattice": [[-3.350, 1.026, 7.983], [-2.675, -8.297, -0.056], [3.090, -1.006, 1.426]],
  "species": ["Li", "Li", "Li", "Li", "Sr", "Sr", "Tl", "Tl", "Tl", "Tl"],
  "fractional_positions": [[0.158, 0.658, 0.500], [0.842, 0.342, 0.500], [0.342, 0.158, 0.500], [0.658, 0.842, 0.500], [0.500, 0.500, 0.000], [0.000, 0.000, 0.000], [0.634, 0.134, 0.000], [0.366, 0.866, 0.000], [0.134, 0.366, 0.000], [0.866, 0.634, 0.000]],
  "e_above_lowest_polymorph_ev_per_atom": 0.062,
  "delta_e_f_ev_per_atom": -0.1861
}